No. 1
Ce2TmSc: relaxed, PBE.

```
4
Lattice="-1.863 -2.057 1.958 -0.609 -3.192 -0.987 8.375 -5.118 5.538" Properties=species:S:1:pos:R:3 pbc="T T T"
Sc 0.000 0.000 0.000
Tm 2.952 -5.183 3.254
Ce 4.491 -7.798 4.917
Ce 1.412 -2.568 1.591
```

DFT formation energy = 0.3 eV per formula unit
Space-group type = No. 166

No. 2
Ce2TmSc: relaxed, PBE.

```
4
Lattice="3.386 0.000 0.000 0.000 3.386 0.000 0.000 0.000 9.782" Properties=species:S:1:pos:R:3 pbc="T T T"
Sc 1.693 1.693 0.000
Tm 1.693 1.693 4.891
Ce 0.000 0.000 7.414
Ce 0.000 0.000 2.369
```

DFT formation energy = 0.4 eV per formula unit
Space-group type = No. 123

| no. | relative energy among the computed polymorphs (meV per atom) | spin magnetization (μB per atom) |
| --- | --- | --- |
| 1 | 0 | 0.287 |
| 2 | 17 | 0.319 |